(1)
# SCAN Nd3Ge13Os4, PBEsol geometry
# DFT total energy in eV per formula unit: -674.7
# Calculated volume in Å³/cell: 741.8
# Crystal system: cubic
# Energy relative to the elements in meV/atom: -414
data_Nd3Ge13Os4
_symmetry_space_group_name_H-M 'P m -3 n'
_symmetry_Int_Tables_number 223
_symmetry_space_group_name_Hall '-P 4n 2 3'
_cell_length_a 9.053
_cell_length_b 9.053
_cell_length_c 9.053
_cell_angle_alpha 90.00
_cell_angle_beta 90.00
_cell_angle_gamma 90.00
loop_
_atom_site_label
_atom_site_type_symbol
_atom_site_fract_x
_atom_site_fract_y
_atom_site_fract_z
Nd1 Nd 0.000 0.250 0.500
Ge1 Ge 0.000 0.000 0.000
Ge2 Ge 0.000 0.295 0.145
Os1 Os 0.250 0.250 0.250



(2)
# SCAN NdGe2Pt, PBEsol geometry
# DFT total energy in eV per formula unit: -156.3
# Calculated volume in Å³/cell: 630.1
# Crystal system: orthorhombic
# Energy relative to the elements in meV/atom: -1088
data_NdGe2Pt
_symmetry_space_group_name_H-M 'I m m m'
_symmetry_Int_Tables_number 71
_symmetry_space_group_name_Hall '-I 2 2'
_cell_length_a 4.383
_cell_length_b 8.753
_cell_length_c 16.425
_cell_angle_alpha 90.00
_cell_angle_beta 90.00
_cell_angle_gamma 90.00
loop_
_atom_site_label
_atom_site_type_symbol
_atom_site_fract_x
_atom_site_fract_y
_atom_site_fract_z
Nd1 Nd 0.000 0.000 0.203
Nd2 Nd 0.000 0.244 0.000
Ge1 Ge 0.000 0.000 0.425
Ge2 Ge 0.000 0.350 0.198
Ge3 Ge 0.000 0.500 0.426
Pt1 Pt 0.000 0.248 0.351



(3)
# SCAN NdGe2Pt2, PBEsol geometry
# DFT total energy in eV per formula unit: -227.8
# Calculated volume in Å³/cell: 186.3
# Crystal system: tetragonal
# Energy relative to the elements in meV/atom: -1138
data_NdGe2Pt2
_symmetry_space_group_name_H-M 'P 4/n m m'
_symmetry_Int_Tables_number 129
_cell_length_a 4.328
_cell_length_b 4.328
_cell_length_c 9.943
_cell_angle_alpha 90.00
_cell_angle_beta 90.00
_cell_angle_gamma 90.00
loop_
_symmetry_equiv_pos_as_xyz
'x,y,z'
'-x,-y,-z'
'-y+1/2,x,z'
'y+1/2,-x,-z'
'-x+1/2,-y+1/2,z'
'x+1/2,y+1/2,-z'
'y,-x+1/2,z'
'-y,x+1/2,-z'
'x+1/2,-y,-z'
'-x+1/2,y,z'
'-y,-x,-z'
'y,x,z'
'-x,y+1/2,-z'
'x,-y+1/2,z'
'y+1/2,x+1/2,-z'
'-y+1/2,-x+1/2,z'
loop_
_atom_site_label
_atom_site_type_symbol
_atom_site_fract_x
_atom_site_fract_y
_atom_site_fract_z
Nd1 Nd 0.250 0.250 0.247
Ge1 Ge 0.250 0.250 0.631
Ge2 Ge 0.250 0.750 0.000
Pt1 Pt 0.250 0.250 0.876
Pt2 Pt 0.250 0.750 0.500



- Among the records above, which one has the lowest energy relative to the elements?
  NdGe2Pt2



Please write out number 2 again, unchanged.
# SCAN NdGe2Pt, PBEsol geometry
# DFT total energy in eV per formula unit: -156.3
# Calculated volume in Å³/cell: 630.1
# Crystal system: orthorhombic
# Energy relative to the elements in meV/atom: -1088
data_NdGe2Pt
_symmetry_space_group_name_H-M 'I m m m'
_symmetry_Int_Tables_number 71
_symmetry_space_group_name_Hall '-I 2 2'
_cell_length_a 4.383
_cell_length_b 8.753
_cell_length_c 16.425
_cell_angle_alpha 90.00
_cell_angle_beta 90.00
_cell_angle_gamma 90.00
loop_
_atom_site_label
_atom_site_type_symbol
_atom_site_fract_x
_atom_site_fract_y
_atom_site_fract_z
Nd1 Nd 0.000 0.000 0.203
Nd2 Nd 0.000 0.244 0.000
Ge1 Ge 0.000 0.000 0.425
Ge2 Ge 0.000 0.350 0.198
Ge3 Ge 0.000 0.500 0.426
Pt1 Pt 0.000 0.248 0.351



Repeat the second record exactly.
# SCAN NdGe2Pt, PBEsol geometry
# DFT total energy in eV per formula unit: -156.3
# Calculated volume in Å³/cell: 630.1
# Crystal system: orthorhombic
# Energy relative to the elements in meV/atom: -1088
data_NdGe2Pt
_symmetry_space_group_name_H-M 'I m m m'
_symmetry_Int_Tables_number 71
_symmetry_space_group_name_Hall '-I 2 2'
_cell_length_a 4.383
_cell_length_b 8.753
_cell_length_c 16.425
_cell_angle_alpha 90.00
_cell_angle_beta 90.00
_cell_angle_gamma 90.00
loop_
_atom_site_label
_atom_site_type_symbol
_atom_site_fract_x
_atom_site_fract_y
_atom_site_fract_z
Nd1 Nd 0.000 0.000 0.203
Nd2 Nd 0.000 0.244 0.000
Ge1 Ge 0.000 0.000 0.425
Ge2 Ge 0.000 0.350 0.198
Ge3 Ge 0.000 0.500 0.426
Pt1 Pt 0.000 0.248 0.351



- Which value of DFT total energy does entry 2 give?
  -156.3 eV per formula unit